## Ac3Ga2AuO9 (PBE)

Data for crystalline Ac3Ga2AuO9 at its relaxed geometry.

Cell lengths 5.7349, 5.7349, 7.0548 Å; angles 90.00, 90.00, 120.00 degrees
With the nearest neighbours (Å) after each atom.
Atoms (fractional coordinates):
Ac (0.0000, 0.0000, 0.0000)  12 O 2.87-2.88
Ac (0.3333, 0.6667, 0.6603)  12 O 2.84-2.91
Ac (0.6667, 0.3333, 0.3397)  12 O 2.84-2.91
Ga (0.3333, 0.6667, 0.1529)  6 O 1.98
Ga (0.6667, 0.3333, 0.8471)  6 O 1.98
Au (0.0000, 0.0000, 0.5000)  6 O 2.14
O (0.0000, 0.5000, 0.0000)  2 Ga 1.98
O (0.1758, 0.3517, 0.3244)  1 Ga 1.98, 1 Au 2.14
O (0.1758, 0.8242, 0.3244)  1 Ga 1.98, 1 Au 2.14
O (0.3517, 0.1758, 0.6756)  1 Ga 1.98, 1 Au 2.14
O (0.5000, 0.0000, 0.0000)  2 Ga 1.98
O (0.5000, 0.5000, 0.0000)  2 Ga 1.98
O (0.6483, 0.8242, 0.3244)  1 Ga 1.98, 1 Au 2.14
O (0.8242, 0.1758, 0.6756)  1 Ga 1.98, 1 Au 2.14
O (0.8242, 0.6483, 0.6756)  1 Ga 1.98, 1 Au 2.14

Output
Formation energy from raw total energies ... -2.2014 eV/atom

## Ac2Ga3PbAu4 (PBE)

Data for crystalline Ac2Ga3PbAu4 at its relaxed geometry.

Cell lengths 4.5651, 4.5651, 11.4180 Å; angles 90.00, 90.00, 90.00 degrees
With the nearest neighbours (Å) after each atom.
Atoms (fractional coordinates):
Ac (0.0000, 0.5000, 0.2337)  8 Au 3.46-3.51, 6 Ga 3.48-3.80, 2 Pb 3.80
Ac (0.5000, 0.0000, 0.7663)  8 Au 3.46-3.51, 6 Ga 3.48-3.80, 2 Pb 3.80
Ga (0.0000, 0.5000, 0.8808)  5 Au 2.56-2.66
Ga (0.5000, 0.0000, 0.1192)  5 Au 2.56-2.66
Ga (0.5000, 0.5000, 0.5000)  4 Au 2.90, 4 Pb 3.23
Pb (0.0000, 0.0000, 0.5000)  4 Au 2.90, 4 Ga 3.23
Au (0.0000, 0.0000, 0.0000)  4 Ga 2.66
Au (0.0000, 0.5000, 0.6566)  1 Ga 2.56
Au (0.5000, 0.0000, 0.3434)  1 Ga 2.56
Au (0.5000, 0.5000, 0.0000)  4 Ga 2.66

Output
E_form ... -0.612 eV per atom

## AcGa2PbAu5 (PBE)

Data for crystalline AcGa2PbAu5 at its relaxed geometry.

Cell lengths 5.0568, 5.0568, 7.9998 Å; angles 90.00, 90.00, 90.00 degrees
With the nearest neighbours (Å) after each atom.
Atoms (fractional coordinates):
Ac (0.0000, 0.0000, 0.0000)  12 Au 3.24-3.58
Ga (0.5000, 0.5000, 0.3411)  1 Ga 2.54, 5 Au 2.63-2.73
Ga (0.5000, 0.5000, 0.6589)  1 Ga 2.54, 5 Au 2.63-2.73
Pb (0.0000, 0.0000, 0.5000)  8 Au 3.21
Au (0.0000, 0.5000, 0.2527)  2 Ga 2.63
Au (0.0000, 0.5000, 0.7473)  2 Ga 2.63
Au (0.5000, 0.0000, 0.2527)  2 Ga 2.63
Au (0.5000, 0.0000, 0.7473)  2 Ga 2.63
Au (0.5000, 0.5000, 0.0000)  2 Ga 2.73

Output
E_form ... -0.348 eV per atom